[1]
{
  "formula": "ZrCrSe3",
  "functional": "GGA-PBE",
  "state": "optimized geometry",
  "lattice_angstrom": [[5.186, 0.000, 0.000], [0.000, 5.186, 0.000], [0.000, 0.000, 5.186]],
  "species": ["Cr", "Se", "Se", "Se", "Zr"],
  "frac_coords": [[0.500, 0.500, 0.500], [0.500, 0.000, 0.000], [0.000, 0.000, 0.500], [0.000, 0.500, 0.000], [0.000, 0.000, 0.000]],
  "space_group": "Pm-3m (221)",
  "de_polymorph_mev_per_atom": 749,
  "volume_a3_per_atom": 27.897,
  "formation_energy_uncorrected_ev_per_fu": -0.74
}


[2]
{
  "formula": "ZrCrSe",
  "functional": "GGA-PBE",
  "state": "optimized geometry",
  "lattice_angstrom": [[4.361, 0.000, 0.000], [2.180, 3.776, 0.000], [2.180, 1.259, 3.560]],
  "species": ["Cr", "Se", "Zr"],
  "frac_coords": [[0.500, 0.500, 0.500], [0.750, 0.750, 0.750], [0.000, 0.000, 0.000]],
  "space_group": "F-43m (216)",
  "de_polymorph_mev_per_atom": 190,
  "volume_a3_per_atom": 19.543,
  "formation_energy_uncorrected_ev_per_fu": -0.14
}


[3]
{
  "formula": "Zr2CrSe4",
  "functional": "GGA-PBE",
  "state": "optimized geometry",
  "lattice_angstrom": [[3.715, 0.000, 0.000], [0.000, 6.453, -0.046], [-1.858, -3.192, 6.352]],
  "species": ["Se", "Se", "Se", "Se", "Zr", "Zr", "Cr"],
  "frac_coords": [[0.115, 0.783, 0.229], [0.885, 0.217, 0.771], [0.618, 0.284, 0.235], [0.382, 0.716, 0.765], [0.253, 0.243, 0.505], [0.747, 0.757, 0.495], [0.000, 0.000, 0.000]],
  "space_group": "C2/m (12)",
  "volume_a3_per_atom": 21.677,
  "formation_energy_uncorrected_ev_per_fu": -7.64
}


[4]
{
  "formula": "Cr5Si3",
  "functional": "GGA-PBE",
  "state": "optimized geometry",
  "lattice_angstrom": [[6.810, 0.004, 0.000], [-5.270, 4.312, 0.000], [-0.770, -2.158, 6.418]],
  "species": ["Cr", "Cr", "Cr", "Cr", "Cr", "Cr", "Cr", "Cr", "Cr", "Cr", "Si", "Si", "Si", "Si", "Si", "Si"],
  "frac_coords": [[0.923, 0.772, 0.695], [0.228, 0.924, 0.152], [0.576, 0.272, 0.848], [0.728, 0.576, 0.305], [0.750, 0.250, 0.500], [0.771, 0.076, 0.848], [0.423, 0.728, 0.152], [0.076, 0.228, 0.304], [0.272, 0.424, 0.696], [0.249, 0.750, 0.500], [0.667, 0.833, 0.500], [0.250, 0.250, 0.000], [0.167, 0.667, 0.835], [0.832, 0.333, 0.165], [0.332, 0.167, 0.500], [0.750, 0.750, 0.000]],
  "space_group": "I4/mcm (140)",
  "de_polymorph_mev_per_atom": 0,
  "volume_a3_per_atom": 11.787,
  "formation_energy_uncorrected_ev_per_fu": -2.60
}


[5]
{
  "formula": "CrSi3",
  "functional": "GGA-PBE",
  "state": "optimized geometry",
  "lattice_angstrom": [[-1.139, 4.286, 0.530], [-2.665, 2.724, 2.329], [2.873, 0.729, 3.071]],
  "species": ["Si", "Si", "Si", "Cr"],
  "frac_coords": [[0.740, 0.740, 0.764], [0.260, 0.260, 0.236], [0.500, 0.500, 0.500], [0.000, 0.000, 0.000]],
  "space_group": "C2/m (12)",
  "volume_a3_per_atom": 12.744,
  "formation_energy_uncorrected_ev_per_fu": 0.42
}


[6]
{
  "formula": "CrSi",
  "functional": "GGA-PBE",
  "state": "optimized geometry",
  "lattice_angstrom": [[2.806, 0.000, 0.000], [0.000, 12.462, 0.000], [0.000, 0.000, 4.116]],
  "species": ["Cr", "Cr", "Cr", "Cr", "Cr", "Cr", "Si", "Si", "Si", "Si", "Si", "Si"],
  "frac_coords": [[0.000, 0.167, 0.361], [0.000, 0.833, 0.361], [0.500, 0.000, 0.527], [0.500, 0.500, 0.027], [0.000, 0.333, 0.861], [0.000, 0.667, 0.861], [0.000, 0.000, 0.020], [0.500, 0.172, 0.866], [0.500, 0.672, 0.366], [0.000, 0.500, 0.520], [0.500, 0.828, 0.866], [0.500, 0.328, 0.366]],
  "space_group": "Amm2 (38)",
  "volume_a3_per_atom": 11.996,
  "formation_energy_uncorrected_ev_per_fu": -0.19
}


[7]
{
  "formula": "CrSi3",
  "functional": "GGA-PBE",
  "state": "optimized geometry",
  "lattice_angstrom": [[4.511, -0.006, 0.000], [-1.347, 4.306, 0.000], [0.000, 0.000, 2.583]],
  "species": ["Si", "Si", "Si", "Cr"],
  "frac_coords": [[0.000, 0.500, 0.500], [0.500, 0.000, 0.500], [0.500, 0.500, 0.000], [0.000, 0.000, 0.000]],
  "space_group": "Cmmm (65)",
  "volume_a3_per_atom": 12.539,
  "formation_energy_uncorrected_ev_per_fu": 0.82
}


[8]
{
  "formula": "CrSi",
  "functional": "GGA-PBE",
  "state": "optimized geometry",
  "lattice_angstrom": [[13.492, 0.000, 0.000], [0.000, 3.887, 0.000], [0.000, 0.000, 2.931]],
  "species": ["Cr", "Cr", "Cr", "Cr", "Cr", "Cr", "Si", "Si", "Si", "Si", "Si", "Si"],
  "frac_coords": [[0.668, 0.500, 0.500], [0.832, 0.000, 0.500], [0.000, 0.500, 0.000], [0.168, 0.000, 0.500], [0.500, 0.000, 0.000], [0.332, 0.500, 0.500], [0.812, 0.500, 0.000], [0.188, 0.500, 0.000], [0.688, 0.000, 0.000], [0.312, 0.000, 0.000], [0.500, 0.500, 0.500], [0.000, 0.000, 0.500]],
  "space_group": "Cmmm (65)",
  "volume_a3_per_atom": 12.810,
  "formation_energy_uncorrected_ev_per_fu": -0.01
}